Entry 1:
PrGePd GGA-PBE optimized geometry; energy = -5.53 eV/atom; total magnetization = 0.36 μB per formula unit; space-group type = F-43m, No. 216
1.0
0.0000 3.3036 3.3036
3.3036 0.0000 3.3036
3.3036 3.3036 0.0000
Ge Pd Pr
1 1 1
Direct
0.2500 0.2500 0.2500
0.0000 0.0000 0.0000
0.7500 0.7500 0.7500



Entry 2:
PrGePd GGA-PBE optimized geometry; energy = -4.94 eV/atom; total magnetization = 0.01 μB per formula unit; space-group type = F-43m, No. 216
1.0
3.1463 -3.6773 0.1544
-1.3208 -4.3841 -1.5751
1.8681 -1.7619 -4.1051
Ge Pd Pr
1 1 1
Direct
0.2500 0.2500 0.2500
0.7500 0.7500 0.7500
0.0000 0.0000 0.0000



Entry 3:
PrGePd GGA-PBE optimized geometry; energy = -5.77 eV/atom; total magnetization = 0.00 μB per formula unit; space-group type = Pnma, No. 62
1.0
7.4087 0.0000 0.0000
0.0000 4.5203 0.0000
0.0000 0.0000 7.7269
Ge Pd Pr
4 4 4
Direct
0.8043 0.2500 0.0884
0.3043 0.2500 0.4116
0.6957 0.7500 0.5884
0.1957 0.7500 0.9116
0.1958 0.2500 0.0823
0.6958 0.2500 0.4177
0.3042 0.7500 0.5823
0.8042 0.7500 0.9177
0.5043 0.7500 0.2053
0.0043 0.7500 0.2947
0.9957 0.2500 0.7053
0.4957 0.2500 0.7947



Entry 4:
Pr2Ge2Pd GGA-PBE optimized geometry; energy = -5.67 eV/atom; total magnetization = 0.01 μB per formula unit; space-group type = C2/m, No. 12
1.0
-0.2221 4.6913 3.6466
-3.0081 1.5306 4.8952
8.6594 -7.0456 1.4872
Ge Pd Pr
4 2 4
Direct
0.9691 0.9691 0.0929
0.3750 0.3750 0.3890
0.6250 0.6250 0.6110
0.0309 0.0309 0.9071
0.4271 0.4271 0.1832
0.5729 0.5729 0.8168
0.7043 0.7043 0.1455
0.0907 0.0907 0.3950
0.9093 0.9093 0.6050
0.2957 0.2957 0.8545



Entry 5:
Pr2GePd6 GGA-PBE optimized geometry; energy = -5.79 eV/atom; total magnetization = 0.01 μB per formula unit; space-group type = P-3m1, No. 164
1.0
-5.3675 -1.3251 -1.8217
-3.0490 -4.1562 2.7044
-2.2423 4.0367 3.6735
Ge Pd Pr
1 6 2
Direct
0.0000 0.0000 0.0000
0.6555 0.1723 0.3091
0.1723 0.6555 0.3091
0.1723 0.1723 0.3091
0.8277 0.8277 0.6909
0.8277 0.3445 0.6909
0.3445 0.8277 0.6909
0.6667 0.6667 0.1806
0.3333 0.3333 0.8194



Entry 6:
PrGe4Pd6 GGA-PBE optimized geometry; energy = -5.62 eV/atom; total magnetization = 0.00 μB per formula unit; space-group type = P-6m2, No. 187
1.0
7.3448 0.0000 0.0000
-3.6724 6.3608 0.0000
0.0000 0.0000 4.0273
Ge Pd Pr
4 6 1
Direct
0.3333 0.6667 0.0000
0.3865 0.1933 0.5000
0.8067 0.1933 0.5000
0.8067 0.6135 0.5000
0.5354 0.0707 0.0000
0.9293 0.4646 0.0000
0.5354 0.4646 0.0000
0.2005 0.4010 0.5000
0.2005 0.7995 0.5000
0.5990 0.7995 0.5000
0.0000 0.0000 0.0000



Entry 7:
PrGe2Pd2 GGA-PBE optimized geometry; energy = -5.58 eV/atom; total magnetization = 0.01 μB per formula unit; space-group type = I4/mmm, No. 139
1.0
2.7994 -4.4822 2.5471
-3.5281 -4.1359 2.2048
0.4304 2.7730 -5.1517
Ge Pd Pr
2 2 1
Direct
0.7500 0.2500 0.5000
0.2500 0.7500 0.5000
0.3644 0.3644 0.0000
0.6356 0.6356 0.0000
0.0000 0.0000 0.0000



Entry 8:
PrGe3Pd2 GGA-PBE optimized geometry; energy = -5.38 eV/atom; total magnetization = 0.00 μB per formula unit; space-group type = P6/mmm, No. 191
1.0
-2.2546 1.9520 4.7556
-3.2957 -1.2088 -4.3802
-0.4348 -3.9650 1.4214
Ge Pd Pr
3 2 1
Direct
0.5000 0.0000 0.5000
0.0000 0.5000 0.5000
0.5000 0.5000 0.5000
0.6667 0.3333 0.0000
0.3333 0.6667 0.0000
0.0000 0.0000 0.0000